The following is a DFT calculation (GGA-PBE) of a relaxed structure of Zr4Pb.

abc: 7.3649 7.3649 4.3001
angles: 90.00 90.00 90.00
With the nearest neighbours (Å) after each atom.
Space group I4/m (No. 87)
One atom of each set of equivalent atoms:
Zr  0.1114  0.3084  0.0000 (multiplicity 8)  9 Zr 3.09-3.42, 3 Pb 3.19-3.23
Pb  0.0000  0.0000  0.5000 (multiplicity 2)  12 Zr 3.19-3.23

* polymorph energy (0 for the lowest one): 0.0 meV/atom
* energy relative to the elements: -0.11 eV/atom
* M_tot: 0.0 μB per cell
* DFT total energy: -7.689 eV per atom
* V: 23.32 A^3/atom